No. 1
Entry from Alexandria via LeMat-Bulk: crystalline TmPuSb2 at its relaxed geometry (PBE).

The structure in CIF format:
```
data_TmPuSb2
_cell_length_a 3.975
_cell_length_b 3.975
_cell_length_c 6.682
_cell_angle_alpha 90.00
_cell_angle_beta 90.00
_cell_angle_gamma 90.00
_symmetry_space_group_name_H-M 'P 1'
_symmetry_Int_Tables_number 1
loop_
_symmetry_equiv_pos_as_xyz
'x,y,z'
loop_
_atom_site_label
_atom_site_fract_x
_atom_site_fract_y
_atom_site_fract_z
Tm1 0.000 0.000 0.000
Pu1 0.000 0.000 0.500
Sb1 0.500 0.500 0.245
Sb2 0.500 0.500 0.755
```

Values from the calculation:
Its formation energy without anion corrections is -0.669 eV/atom. The polymorph energy (0 for the lowest one) comes out at 0.163 eV per atom. The total energy comes out at -29.7 eV per cell. The density of states at the Fermi level comes out at 8.348 states/eV per cell. The calculation puts the total magnetization at 5.98 μB/cell. The calculated volume comes out at 106 Å³/f.u.



No. 2
Entry from Alexandria via LeMat-Bulk: crystalline LiTc2Hg at its relaxed geometry (PBE).

The structure in CIF format:
```
data_LiTc2Hg
_cell_length_a 5.478
_cell_length_b 5.478
_cell_length_c 2.715
_cell_angle_alpha 99.55
_cell_angle_beta 99.55
_cell_angle_gamma 123.79
_symmetry_space_group_name_H-M 'P 1'
_symmetry_Int_Tables_number 1
loop_
_symmetry_equiv_pos_as_xyz
'x,y,z'
loop_
_atom_site_label
_atom_site_fract_x
_atom_site_fract_y
_atom_site_fract_z
Li1 0.000 0.000 0.000
Tc1 0.000 0.500 0.500
Tc2 0.500 0.000 0.500
Hg1 0.500 0.500 0.000
```

Values from the calculation:
The value obtained for the energy of formation is 1.7 eV/f.u. The total energy comes out at -21.3 eV per cell. The density of states at the Fermi level comes out at 3.131 states/eV per cell. The calculation puts the total magnetization at 0.00 μB/cell. The calculated volume comes out at 63 Å³/f.u.



No. 3
Entry from Alexandria via LeMat-Bulk: crystalline LiTe2MoI at its relaxed geometry (PBE).

The structure in CIF format:
```
data_LiTe2MoI
_cell_length_a 5.050
_cell_length_b 5.050
_cell_length_c 5.482
_cell_angle_alpha 90.00
_cell_angle_beta 90.00
_cell_angle_gamma 90.00
_symmetry_space_group_name_H-M 'P 1'
_symmetry_Int_Tables_number 1
loop_
_symmetry_equiv_pos_as_xyz
'x,y,z'
loop_
_atom_site_label
_atom_site_fract_x
_atom_site_fract_y
_atom_site_fract_z
Li1 0.000 0.000 0.000
Te1 0.000 0.500 0.000
Te2 0.500 0.000 0.000
Mo1 0.500 0.500 0.500
I1 0.000 0.000 0.500
```

Values from the calculation:
Its formation energy without anion corrections is 0.742 eV/atom. The polymorph energy (0 for the lowest one) comes out at 0.629 eV per atom. The total energy comes out at -16.9 eV per cell. The density of states at the Fermi level comes out at 4.186 states/eV per cell. The calculation puts the total magnetization at 3.49 μB/cell. The calculated volume comes out at 140 Å³/f.u.



No. 4
Entry from Alexandria via LeMat-Bulk: crystalline La2SiPt2 at its relaxed geometry (PBE).

The structure in CIF format:
```
data_La2SiPt2
_cell_length_a 5.565
_cell_length_b 5.565
_cell_length_c 5.565
_cell_angle_alpha 117.82
_cell_angle_beta 117.82
_cell_angle_gamma 93.81
_symmetry_space_group_name_H-M 'P 1'
_symmetry_Int_Tables_number 1
loop_
_symmetry_equiv_pos_as_xyz
'x,y,z'
loop_
_atom_site_label
_atom_site_fract_x
_atom_site_fract_y
_atom_site_fract_z
La1 0.250 0.750 0.500
La2 0.750 0.250 0.500
Si1 0.000 0.000 0.000
Pt1 0.330 0.330 0.000
Pt2 0.670 0.670 0.000
```

Values from the calculation:
Its formation energy without anion corrections is -0.868 eV/atom. The total energy comes out at -31.7 eV per cell. The density of states at the Fermi level comes out at 2.306 states/eV per cell. The calculation puts the total magnetization at 0.00 μB/cell. The calculated volume comes out at 126 Å³/f.u.



No. 5
Entry from Alexandria via LeMat-Bulk: crystalline InMoOs2 at its relaxed geometry (PBE).

The structure in CIF format:
```
data_InMoOs2
_cell_length_a 2.983
_cell_length_b 4.538
_cell_length_c 4.768
_cell_angle_alpha 90.00
_cell_angle_beta 90.00
_cell_angle_gamma 90.00
_symmetry_space_group_name_H-M 'P 1'
_symmetry_Int_Tables_number 1
loop_
_symmetry_equiv_pos_as_xyz
'x,y,z'
loop_
_atom_site_label
_atom_site_fract_x
_atom_site_fract_y
_atom_site_fract_z
In1 0.000 0.000 0.000
Mo1 0.500 0.000 0.500
Os1 0.000 0.500 0.500
Os2 0.500 0.500 0.000
```

Values from the calculation:
The value obtained for the energy of formation is 2.5 eV/f.u. The total energy comes out at -33.6 eV per cell. The density of states at the Fermi level comes out at 4.979 states/eV per cell. The calculation puts the total magnetization at 0.00 μB/cell. The calculated volume comes out at 65 Å³/f.u.



No. 6
Entry from Alexandria via LeMat-Bulk: crystalline ErNpUO6 at its relaxed geometry (PBE).

The structure in CIF format:
```
data_ErNpUO6
_cell_length_a 5.749
_cell_length_b 5.749
_cell_length_c 9.416
_cell_angle_alpha 90.00
_cell_angle_beta 90.00
_cell_angle_gamma 120.00
_symmetry_space_group_name_H-M 'P 1'
_symmetry_Int_Tables_number 1
loop_
_symmetry_equiv_pos_as_xyz
'x,y,z'
loop_
_atom_site_label
_atom_site_fract_x
_atom_site_fract_y
_atom_site_fract_z
Er1 0.333 0.667 0.250
Er2 0.667 0.333 0.750
Np1 0.000 0.000 0.000
Np2 0.000 0.000 0.500
U1 0.333 0.667 0.750
U2 0.667 0.333 0.250
O1 0.014 0.343 0.632
O2 0.014 0.671 0.868
O3 0.329 0.343 0.868
O4 0.329 0.986 0.632
O5 0.343 0.014 0.132
O6 0.343 0.329 0.368
O7 0.657 0.671 0.632
O8 0.657 0.986 0.868
O9 0.671 0.014 0.368
O10 0.671 0.657 0.132
O11 0.986 0.329 0.132
O12 0.986 0.657 0.368
```

Values from the calculation:
Its formation energy without anion corrections is -3.181 eV/atom. The total energy comes out at -174.3 eV per cell. The density of states at the Fermi level comes out at 29.001 states/eV per cell. The calculation puts the total magnetization at 8.00 μB/cell. The calculated volume comes out at 135 Å³/f.u.



No. 7
Entry from Alexandria via LeMat-Bulk: crystalline ScBeZn2 at its relaxed geometry (PBE).

The structure in CIF format:
```
data_ScBeZn2
_cell_length_a 4.349
_cell_length_b 4.349
_cell_length_c 4.349
_cell_angle_alpha 119.53
_cell_angle_beta 119.53
_cell_angle_gamma 90.82
_symmetry_space_group_name_H-M 'P 1'
_symmetry_Int_Tables_number 1
loop_
_symmetry_equiv_pos_as_xyz
'x,y,z'
loop_
_atom_site_label
_atom_site_fract_x
_atom_site_fract_y
_atom_site_fract_z
Sc1 0.000 0.000 0.000
Be1 0.250 0.750 0.500
Zn1 0.500 0.500 0.000
Zn2 0.750 0.250 0.500
```

Values from the calculation:
The value obtained for the energy of formation is -0.5 eV/f.u. The total energy comes out at -13.2 eV per cell. The density of states at the Fermi level comes out at 1.660 states/eV per cell. The calculation puts the total magnetization at 0.00 μB/cell. The calculated volume comes out at 59 Å³/f.u.



No. 8
Entry from Alexandria via LeMat-Bulk: crystalline ZnFeCl2 at its relaxed geometry (PBE).

The structure in CIF format:
```
data_ZnFeCl2
_cell_length_a 3.346
_cell_length_b 3.346
_cell_length_c 8.918
_cell_angle_alpha 90.00
_cell_angle_beta 90.00
_cell_angle_gamma 120.21
_symmetry_space_group_name_H-M 'P 1'
_symmetry_Int_Tables_number 1
loop_
_symmetry_equiv_pos_as_xyz
'x,y,z'
loop_
_atom_site_label
_atom_site_fract_x
_atom_site_fract_y
_atom_site_fract_z
Zn1 0.000 0.000 0.000
Fe1 0.500 0.500 0.775
Cl1 0.000 0.000 0.596
Cl2 0.500 0.500 0.182
```

Values from the calculation:
Its formation energy without anion corrections is -0.256 eV/atom. The polymorph energy (0 for the lowest one) comes out at 0.104 eV per atom. The total energy comes out at -14.5 eV per cell. The density of states at the Fermi level comes out at 2.565 states/eV per cell. The calculation puts the total magnetization at 3.17 μB/cell. The calculated volume comes out at 86 Å³/f.u.



- total energy of number 3 (LiTe2MoI)?
  -16.9 eV per cell



- Number 8 is which compound?
  ZnFeCl2



Please write out number 2 again, unchanged.
Entry from Alexandria via LeMat-Bulk: crystalline LiTc2Hg at its relaxed geometry (PBE).

The structure in CIF format:
```
data_LiTc2Hg
_cell_length_a 5.478
_cell_length_b 5.478
_cell_length_c 2.715
_cell_angle_alpha 99.55
_cell_angle_beta 99.55
_cell_angle_gamma 123.79
_symmetry_space_group_name_H-M 'P 1'
_symmetry_Int_Tables_number 1
loop_
_symmetry_equiv_pos_as_xyz
'x,y,z'
loop_
_atom_site_label
_atom_site_fract_x
_atom_site_fract_y
_atom_site_fract_z
Li1 0.000 0.000 0.000
Tc1 0.000 0.500 0.500
Tc2 0.500 0.000 0.500
Hg1 0.500 0.500 0.000
```

Values from the calculation:
The value obtained for the energy of formation is 1.7 eV/f.u. The total energy comes out at -21.3 eV per cell. The density of states at the Fermi level comes out at 3.131 states/eV per cell. The calculation puts the total magnetization at 0.00 μB/cell. The calculated volume comes out at 63 Å³/f.u.



- Which of these has the lowest density of states at the Fermi level?
  ScBeZn2